(1)
# Cs3YAg2Cl9 (PBE, relaxed)
data_Cs3YAg2Cl9
_chemical_formula_sum 'Cs3 Y1 Ag2 Cl9'
_cell_length_a 7.5546
_cell_length_b 7.5546
_cell_length_c 9.3455
_cell_angle_alpha 90.00
_cell_angle_beta 90.00
_cell_angle_gamma 120.00
_space_group_name_H-M_alt 'P 1'
_space_group_IT_number 1
_space_group_name_Hall 'P 1'
loop_
_atom_site_label
_atom_site_type_symbol
_atom_site_fract_x
_atom_site_fract_y
_atom_site_fract_z
_atom_site_occupancy
Cs1 Cs 0.0000 0.0000 0.0000 1
Cs2 Cs 0.3333 0.6667 0.6803 1
Cs3 Cs 0.6667 0.3333 0.3197 1
Y1 Y 0.0000 0.0000 0.5000 1
Ag1 Ag 0.3333 0.6667 0.1526 1
Ag2 Ag 0.6667 0.3333 0.8474 1
Cl1 Cl 0.0000 0.5000 0.0000 1
Cl2 Cl 0.1654 0.3308 0.3370 1
Cl3 Cl 0.1654 0.8346 0.3370 1
Cl4 Cl 0.3308 0.1654 0.6630 1
Cl5 Cl 0.5000 0.0000 0.0000 1
Cl6 Cl 0.5000 0.5000 0.0000 1
Cl7 Cl 0.6692 0.8346 0.3370 1
Cl8 Cl 0.8346 0.1654 0.6630 1
Cl9 Cl 0.8346 0.6692 0.6630 1
# volume	461.9	Å³ per cell
# symmetry	No. 164
# total energy	-3.672	eV/atom
# magnetization	0.5	μB/f.u.



(2)
# La6InRh (PBE, relaxed)
data_La6InRh
_chemical_formula_sum 'La6 In1 Rh1'
_cell_length_a 6.6270
_cell_length_b 6.6270
_cell_length_c 6.6093
_cell_angle_alpha 100.18
_cell_angle_beta 100.18
_cell_angle_gamma 101.48
_space_group_name_H-M_alt 'P 1'
_space_group_IT_number 1
_space_group_name_Hall 'P 1'
loop_
_atom_site_label
_atom_site_type_symbol
_atom_site_fract_x
_atom_site_fract_y
_atom_site_fract_z
_atom_site_occupancy
La1 La 0.0932 0.6956 0.7032 1
La2 La 0.2981 0.2981 0.8969 1
La3 La 0.3044 0.9068 0.2968 1
La4 La 0.6956 0.0932 0.7032 1
La5 La 0.7019 0.7019 0.1031 1
La6 La 0.9068 0.3044 0.2968 1
In1 In 0.5000 0.5000 0.5000 1
Rh1 Rh 0.0000 0.0000 0.0000 1
# volume	273.2	Å³ per cell
# symmetry	No. 12
# formation energy	-239	meV/atom
# magnetization	0.0	μB/f.u.



(3)
# Mn2RuPb (PBE, relaxed)
data_Mn2RuPb
_chemical_formula_sum 'Mn2 Ru1 Pb1'
_cell_length_a 4.0947
_cell_length_b 4.0947
_cell_length_c 3.9285
_cell_angle_alpha 90.00
_cell_angle_beta 90.00
_cell_angle_gamma 90.00
_space_group_name_H-M_alt 'P 1'
_space_group_IT_number 1
_space_group_name_Hall 'P 1'
loop_
_atom_site_label
_atom_site_type_symbol
_atom_site_fract_x
_atom_site_fract_y
_atom_site_fract_z
_atom_site_occupancy
Mn1 Mn 0.0000 0.5000 0.0000 1
Mn2 Mn 0.5000 0.0000 0.0000 1
Ru1 Ru 0.0000 0.0000 0.5000 1
Pb1 Pb 0.5000 0.5000 0.5000 1
# volume	65.9	Å³ per cell
# symmetry	No. 123
# formation energy	376	meV/atom
# magnetization	7.9	μB/f.u.



(4)
# Li2InFe (PBE, relaxed)
data_Li2InFe
_chemical_formula_sum 'Li2 In1 Fe1'
_cell_length_a 5.0150
_cell_length_b 5.0150
_cell_length_c 2.8835
_cell_angle_alpha 90.00
_cell_angle_beta 90.00
_cell_angle_gamma 113.86
_space_group_name_H-M_alt 'P 1'
_space_group_IT_number 1
_space_group_name_Hall 'P 1'
loop_
_atom_site_label
_atom_site_type_symbol
_atom_site_fract_x
_atom_site_fract_y
_atom_site_fract_z
_atom_site_occupancy
Li1 Li 0.0000 0.5000 0.0000 1
Li2 Li 0.5000 0.0000 0.0000 1
In1 In 0.0000 0.0000 0.5000 1
Fe1 Fe 0.5000 0.5000 0.5000 1
# volume	66.3	Å³ per cell
# symmetry	No. 65
# formation energy	178	meV/atom
# magnetization	2.6	μB/f.u.



(5)
# Pu2TaNbN6 (PBE, relaxed)
data_Pu2TaNbN6
_chemical_formula_sum 'Pu4 Ta2 Nb2 N12'
_cell_length_a 5.5004
_cell_length_b 5.7731
_cell_length_c 9.6141
_cell_angle_alpha 90.00
_cell_angle_beta 124.87
_cell_angle_gamma 90.00
_space_group_name_H-M_alt 'P 1'
_space_group_IT_number 1
_space_group_name_Hall 'P 1'
loop_
_atom_site_label
_atom_site_type_symbol
_atom_site_fract_x
_atom_site_fract_y
_atom_site_fract_z
_atom_site_occupancy
Pu1 Pu 0.2368 0.0650 0.2499 1
Pu2 Pu 0.2368 0.4350 0.7499 1
Pu3 Pu 0.7632 0.5650 0.2501 1
Pu4 Pu 0.7632 0.9350 0.7501 1
Ta1 Ta 0.5000 0.0000 0.0000 1
Ta2 Ta 0.5000 0.5000 0.5000 1
Nb1 Nb 0.0000 0.0000 0.5000 1
Nb2 Nb 0.0000 0.5000 0.0000 1
N1 N 0.1284 0.1896 0.9400 1
N2 N 0.1284 0.3104 0.4400 1
N3 N 0.2537 0.6922 0.9395 1
N4 N 0.2537 0.8078 0.4395 1
N5 N 0.3692 0.0465 0.7512 1
N6 N 0.3692 0.4535 0.2512 1
N7 N 0.6308 0.5465 0.7488 1
N8 N 0.6308 0.9535 0.2488 1
N9 N 0.7463 0.1922 0.5605 1
N10 N 0.7463 0.3078 0.0605 1
N11 N 0.8716 0.6896 0.5600 1
N12 N 0.8716 0.8104 0.0600 1
# volume	250.5	Å³ per cell
# symmetry	No. 14
# total energy	-11.083	eV/atom
# magnetization	8.0	μB/f.u.



(6)
# PaCuTe2N (PBE, relaxed)
data_PaCuTe2N
_chemical_formula_sum 'Pa2 Cu2 Te4 N2'
_cell_length_a 3.9353
_cell_length_b 3.9353
_cell_length_c 13.8337
_cell_angle_alpha 90.00
_cell_angle_beta 90.00
_cell_angle_gamma 90.00
_space_group_name_H-M_alt 'P 1'
_space_group_IT_number 1
_space_group_name_Hall 'P 1'
loop_
_atom_site_label
_atom_site_type_symbol
_atom_site_fract_x
_atom_site_fract_y
_atom_site_fract_z
_atom_site_occupancy
Pa1 Pa 0.2500 0.2500 0.0856 1
Pa2 Pa 0.7500 0.7500 0.9144 1
Cu1 Cu 0.2500 0.2500 0.6003 1
Cu2 Cu 0.7500 0.7500 0.3997 1
Te1 Te 0.2500 0.2500 0.4099 1
Te2 Te 0.2500 0.2500 0.7904 1
Te3 Te 0.7500 0.7500 0.2096 1
Te4 Te 0.7500 0.7500 0.5901 1
N1 N 0.2500 0.7500 0.0000 1
N2 N 0.7500 0.2500 0.0000 1
# volume	214.2	Å³ per cell
# symmetry	No. 129
# total energy	-6.537	eV/atom
# magnetization	0.0	μB/f.u.



(7)
# K2AlCdTe4 (PBE, relaxed)
data_K2AlCdTe4
_chemical_formula_sum 'K2 Al1 Cd1 Te4'
_cell_length_a 7.1077
_cell_length_b 7.1077
_cell_length_c 7.1077
_cell_angle_alpha 106.41
_cell_angle_beta 106.41
_cell_angle_gamma 115.79
_space_group_name_H-M_alt 'P 1'
_space_group_IT_number 1
_space_group_name_Hall 'P 1'
loop_
_atom_site_label
_atom_site_type_symbol
_atom_site_fract_x
_atom_site_fract_y
_atom_site_fract_z
_atom_site_occupancy
K1 K 0.0000 0.5000 0.5000 1
K2 K 0.5000 0.0000 0.5000 1
Al1 Al 0.0000 0.0000 0.0000 1
Cd1 Cd 0.5000 0.5000 0.0000 1
Te1 Te 0.0614 0.3983 0.0000 1
Te2 Te 0.3983 0.0614 0.0000 1
Te3 Te 0.6017 0.6017 0.6632 1
Te4 Te 0.9386 0.9386 0.3368 1
# volume	273.9	Å³ per cell
# symmetry	No. 121
# total energy	-3.070	eV/atom
# magnetization	0.0	μB/f.u.



(8)
# LiScAsSe2 (PBE, relaxed)
data_LiScAsSe2
_chemical_formula_sum 'Li1 Sc1 As1 Se2'
_cell_length_a 4.8076
_cell_length_b 4.8076
_cell_length_c 4.3583
_cell_angle_alpha 90.00
_cell_angle_beta 90.00
_cell_angle_gamma 90.00
_space_group_name_H-M_alt 'P 1'
_space_group_IT_number 1
_space_group_name_Hall 'P 1'
loop_
_atom_site_label
_atom_site_type_symbol
_atom_site_fract_x
_atom_site_fract_y
_atom_site_fract_z
_atom_site_occupancy
Li1 Li 0.0000 0.0000 0.0000 1
Sc1 Sc 0.5000 0.5000 0.5000 1
As1 As 0.0000 0.0000 0.5000 1
Se1 Se 0.0000 0.5000 0.0000 1
Se2 Se 0.5000 0.0000 0.0000 1
# volume	100.7	Å³ per cell
# symmetry	No. 123
# total energy	-4.202	eV/atom
# magnetization	0.0	μB/f.u.



(9)
# CaErO2 (PBE, relaxed)
data_CaErO2
_chemical_formula_sum 'Ca1 Er1 O2'
_cell_length_a 5.9310
_cell_length_b 5.9310
_cell_length_c 5.9310
_cell_angle_alpha 32.94
_cell_angle_beta 32.94
_cell_angle_gamma 32.94
_space_group_name_H-M_alt 'P 1'
_space_group_IT_number 1
_space_group_name_Hall 'P 1'
loop_
_atom_site_label
_atom_site_type_symbol
_atom_site_fract_x
_atom_site_fract_y
_atom_site_fract_z
_atom_site_occupancy
Ca1 Ca 0.0000 0.0000 0.0000 1
Er1 Er 0.5000 0.5000 0.5000 1
O1 O 0.2471 0.2471 0.2471 1
O2 O 0.7529 0.7529 0.7529 1
# volume	54.9	Å³ per cell
# symmetry	No. 166
# total energy	-6.985	eV/atom
# magnetization	0.0	μB/f.u.



(10)
# Ce3Cu3Si (PBE, relaxed)
data_Ce3Cu3Si
_chemical_formula_sum 'Ce3 Cu3 Si1'
_cell_length_a 9.8067
_cell_length_b 9.8067
_cell_length_c 9.8067
_cell_angle_alpha 157.59
_cell_angle_beta 155.54
_cell_angle_gamma 33.41
_space_group_name_H-M_alt 'P 1'
_space_group_IT_number 1
_space_group_name_Hall 'P 1'
loop_
_atom_site_label
_atom_site_type_symbol
_atom_site_fract_x
_atom_site_fract_y
_atom_site_fract_z
_atom_site_occupancy
Ce1 Ce 0.0000 0.0000 0.0000 1
Ce2 Ce 0.3775 0.3775 0.0000 1
Ce3 Ce 0.6895 0.1895 0.5000 1
Cu1 Cu 0.1255 0.6255 0.5000 1
Cu2 Cu 0.5511 0.5511 0.0000 1
Cu3 Cu 0.8217 0.8217 0.0000 1
Si1 Si 0.2540 0.7540 0.5000 1
# volume	148.7	Å³ per cell
# symmetry	No. 44
# total energy	-5.303	eV/atom
# magnetization	2.4	μB/f.u.



(11)
# V3HRh (PBE, relaxed)
data_V3HRh
_chemical_formula_sum 'V6 H2 Rh2'
_cell_length_a 4.9210
_cell_length_b 4.9210
_cell_length_c 5.1295
_cell_angle_alpha 90.00
_cell_angle_beta 90.00
_cell_angle_gamma 113.65
_space_group_name_H-M_alt 'P 1'
_space_group_IT_number 1
_space_group_name_Hall 'P 1'
loop_
_atom_site_label
_atom_site_type_symbol
_atom_site_fract_x
_atom_site_fract_y
_atom_site_fract_z
_atom_site_occupancy
V1 V 0.2459 0.7541 0.7500 1
V2 V 0.2624 0.2624 0.0000 1
V3 V 0.2624 0.2624 0.5000 1
V4 V 0.7376 0.7376 0.0000 1
V5 V 0.7376 0.7376 0.5000 1
V6 V 0.7541 0.2459 0.2500 1
H1 H 0.0189 0.9811 0.7500 1
H2 H 0.9811 0.0189 0.2500 1
Rh1 Rh 0.2491 0.7509 0.2500 1
Rh2 Rh 0.7509 0.2491 0.7500 1
# volume	113.8	Å³ per cell
# symmetry	No. 63
# total energy	-7.780	eV/atom
# magnetization	0.0	μB/f.u.



(12)
# K3RbAu3 (PBE, relaxed)
data_K3RbAu3
_chemical_formula_sum 'K12 Rb4 Au12'
_cell_length_a 10.1597
_cell_length_b 10.1597
_cell_length_c 10.1597
_cell_angle_alpha 90.00
_cell_angle_beta 90.00
_cell_angle_gamma 90.00
_space_group_name_H-M_alt 'P 1'
_space_group_IT_number 1
_space_group_name_Hall 'P 1'
loop_
_atom_site_label
_atom_site_type_symbol
_atom_site_fract_x
_atom_site_fract_y
_atom_site_fract_z
_atom_site_occupancy
K1 K 0.0749 0.4251 0.5749 1
K2 K 0.1751 0.1751 0.1751 1
K3 K 0.1774 0.8226 0.3226 1
K4 K 0.3226 0.1774 0.8226 1
K5 K 0.3249 0.8249 0.6751 1
K6 K 0.4251 0.5749 0.0749 1
K7 K 0.5749 0.0749 0.4251 1
K8 K 0.6751 0.3249 0.8249 1
K9 K 0.6774 0.6774 0.6774 1
K10 K 0.8226 0.3226 0.1774 1
K11 K 0.8249 0.6751 0.3249 1
K12 K 0.9251 0.9251 0.9251 1
Rb1 Rb 0.0734 0.5734 0.9266 1
Rb2 Rb 0.4266 0.4266 0.4266 1
Rb3 Rb 0.5734 0.9266 0.0734 1
Rb4 Rb 0.9266 0.0734 0.5734 1
Au1 Au 0.0024 0.7459 0.6220 1
Au2 Au 0.1220 0.4976 0.2541 1
Au3 Au 0.2459 0.8780 0.9976 1
Au4 Au 0.2541 0.1220 0.4976 1
Au5 Au 0.3780 0.5024 0.7541 1
Au6 Au 0.4976 0.2541 0.1220 1
Au7 Au 0.5024 0.7541 0.3780 1
Au8 Au 0.6220 0.0024 0.7459 1
Au9 Au 0.7459 0.6220 0.0024 1
Au10 Au 0.7541 0.3780 0.5024 1
Au11 Au 0.8780 0.9976 0.2459 1
Au12 Au 0.9976 0.2459 0.8780 1
# volume	1048.7	Å³ per cell
# symmetry	No. 198
# formation energy	-260	meV/atom
# magnetization	0.0	μB/f.u.